## Th2PaFe2N6 (PBE)

Data for an optimized crystal structure of Th2PaFe2N6.

Properties
* formation energy from raw total energies: -790 meV/atom
* total moment: 0.402 μB per atom
* N(E_F): 0.66 states/eV per atom
* E_tot: -9.08 eV/atom

Cell: 5.591 5.591 6.659 Å, 65.17 65.17 60.00°
Each line ends with the local moment (μB).
Sites, in units of the cell vectors:
1 Th 0.790 0.790 0.629  0.07
2 Th 0.210 0.210 0.371  0.07
3 Pa 0.000 0.000 0.000  0.24
4 Fe 0.403 0.403 0.792  1.80
5 Fe 0.597 0.597 0.208  1.80
6 N 0.745 0.745 0.291  0.04
7 N 0.220 0.745 0.291  0.04
8 N 0.745 0.220 0.291  0.04
9 N 0.255 0.780 0.709  0.04
10 N 0.780 0.255 0.709  0.04
11 N 0.255 0.255 0.709  0.04